VASP calculation (GGA-PBE) on a geometry-optimized TmScGaHg structure.

Results
volume	87	Å³/cell
DOS at the Fermi energy	2.78	states/eV per cell
theoretical density	9.2	g/cm3
VASP energy	-16.18	eV/cell

Cell and atoms, written as POSCAR:
```
TmScGaHg
1.0
-1.903 0.221 -2.920
-0.843 -3.377 0.293
-5.758 1.775 3.887
Sc Hg Tm Ga
1 1 1 1
Cartesian
-2.131 0.657 1.439
-2.078 -1.361 -0.838
-4.849 1.494 3.273
-4.790 -0.525 0.993
```